Computed, not measured: a relaxed structure of KEr2N at the PBE-GGA level of DFT.

Structure (POSCAR):
```
KEr2N
1.0
-1.973 -2.413 1.583
-2.124 -2.036 -1.889
6.048 -8.238 -1.158
N Er K
1 2 1
Direct
0.500 0.500 0.500
0.123 0.123 0.630
0.877 0.877 0.370
0.000 0.000 0.000
```

Calculated values
raw formation energy: -0.58 eV per atom
VASP energy: -5.21 eV per atom